A relaxed structure of AgBiO3. Source: Alexandria, functional GGA-PBEsol.

Cell and atoms, written as extended XYZ:
```
10
Lattice="2.857 1.649 5.108 -2.857 1.649 5.108 0.000 -3.299 5.108" Properties=species:S:1:pos:R:3 pbc="T T T"
Ag 0.000 0.000 2.039
Ag 0.000 0.000 13.285
Bi 0.000 0.000 5.292
Bi 0.000 0.000 10.032
O -1.882 -0.246 6.312
O -0.728 -1.752 9.012
O 1.154 -1.507 6.312
O -1.154 1.507 9.012
O 0.728 1.752 6.312
O 1.882 0.246 9.012
```

Results
Total DFT energy (no corrections): -52.4 eV/cell
Formation energy (no corrections): -0.576 eV/atom